Record 1
Entry from OQMD: a relaxed structure of HfCoCuB (GGA-PBE).

Cell lengths 4.0885, 4.0885, 4.0885 Å; angles 60.00, 60.00, 60.00 degrees
Fractional coordinates of all 4 atoms:
Hf 0.0000 0.0000 0.0000
Co 0.5000 0.5000 0.5000
Cu 0.7500 0.7500 0.7500
B 0.2500 0.2500 0.2500

## Properties
total magnetic moment: 0.0 μB/cell
energy above the lowest structure with this stoichiometry: 0.000 eV per atom
space-group type: F-43m

---

Record 2
Entry from OQMD: a relaxed structure of GdHfNi (GGA-PBE).

Cell lengths 4.5680, 4.5680, 4.5680 Å; angles 60.00, 60.00, 60.00 degrees
Fractional coordinates of all 3 atoms:
Gd 0.0000 0.0000 0.0000
Hf 0.5000 0.5000 0.5000
Ni 0.2500 0.2500 0.2500

## Properties
total magnetic moment: 0.0 μB/cell
energy above the lowest structure with this stoichiometry: 0.000 eV per atom
space-group type: F-43m

---

Record 3
Entry from OQMD: a relaxed structure of PrTaN2O (GGA-PBE).

Cell lengths 5.6788, 5.6867, 9.8088 Å; angles 73.69, 73.60, 60.73 degrees
Fractional coordinates of all 20 atoms:
Pr 0.0000 0.0000 0.0000
Pr 0.2238 0.2761 0.2486
Pr 0.5004 0.5024 0.4929
Pr 0.7243 0.7789 0.7468
Ta 0.1313 0.1289 0.6286
Ta 0.3411 0.3934 0.8752
Ta 0.6048 0.6558 0.1236
Ta 0.8533 0.9038 0.3619
N 0.0232 0.5238 0.0220
N 0.1515 0.3478 0.7433
N 0.2224 0.7181 0.2253
N 0.2577 0.7866 0.7699
N 0.4810 0.9827 0.9669
N 0.5067 0.0323 0.5168
N 0.6543 0.8386 0.2477
N 0.7705 0.2733 0.2642
O 0.0705 0.9058 0.5015
O 0.5964 0.4211 0.9815
O 0.7114 0.2387 0.7093
O 0.9555 0.4718 0.4699

## Properties
total magnetic moment: 0.0 μB/cell
space-group type: P1

---

Record 4
Entry from OQMD: a relaxed structure of GdBiAs (GGA-PBE).

Cell lengths 5.0888, 5.0888, 5.0888 Å; angles 60.00, 60.00, 60.00 degrees
Fractional coordinates of all 3 atoms:
Gd 0.0000 0.0000 0.0000
Bi 0.2500 0.2500 0.2500
As 0.7500 0.7500 0.7500

## Properties
total magnetic moment: 0.0 μB/cell
energy above the lowest structure with this stoichiometry: 0.135 eV per atom
space-group type: F-43m

---

Record 5
Entry from OQMD: a relaxed structure of NdSmNi2P2 (GGA-PBE).

Cell lengths 3.9441, 3.9441, 7.9780 Å; angles 90.00, 90.00, 120.00 degrees
Fractional coordinates of all 6 atoms:
Nd 0.0000 0.0000 0.0000
Sm 0.0000 0.0000 0.5000
Ni 0.3333 0.6667 0.7481
Ni 0.6667 0.3333 0.2519
P 0.3333 0.6667 0.2538
P 0.6667 0.3333 0.7462

## Properties
total magnetic moment: 0.0 μB/cell
space-group type: P-3m1

---

Record 6
Entry from OQMD: a relaxed structure of Cd2PbCl8 (GGA-PBE).

Cell lengths 9.5910, 9.5910, 9.5910 Å; angles 142.99, 142.99, 53.34 degrees
Fractional coordinates of all 11 atoms:
Cd 0.2437 0.2437 0.0000
Cd 0.7563 0.7563 0.0000
Pb 0.0000 0.0000 0.0000
Cl 0.0871 0.0800 0.5153
Cl 0.1665 0.6785 0.9849
Cl 0.3215 0.3064 0.4880
Cl 0.4282 0.9129 0.9929
Cl 0.5647 0.5718 0.4847
Cl 0.6936 0.1816 0.0151
Cl 0.8184 0.8335 0.5120
Cl 0.9200 0.4353 0.0071

## Properties
space-group type: I-4

---

Record 7
Entry from OQMD: a relaxed structure of TcNiBOs (GGA-PBE).

Cell lengths 4.0857, 4.0857, 4.0857 Å; angles 60.00, 60.00, 60.00 degrees
Fractional coordinates of all 4 atoms:
Tc 0.0000 0.0000 0.0000
Ni 0.5000 0.5000 0.5000
B 0.2500 0.2500 0.2500
Os 0.7500 0.7500 0.7500

## Properties
total magnetic moment: 0.0 μB/cell
energy above the lowest structure with this stoichiometry: 0.352 eV per atom
space-group type: F-43m

---

Record 8
Entry from OQMD: a relaxed structure of HoTlSbS3 (GGA-PBE).

Cell lengths 7.7679, 7.7679, 11.2675 Å; angles 90.00, 90.00, 151.42 degrees
Fractional coordinates of all 12 atoms:
Ho 0.0000 0.0000 0.0000
Ho 0.0000 0.0000 0.5000
Tl 0.3262 0.6738 0.7500
Tl 0.6738 0.3262 0.2500
Sb 0.3652 0.6348 0.2500
Sb 0.6348 0.3652 0.7500
S 0.0016 0.9984 0.2500
S 0.3748 0.6252 0.0134
S 0.3748 0.6252 0.4866
S 0.6252 0.3748 0.5134
S 0.6252 0.3748 0.9866
S 0.9984 0.0016 0.7500

## Properties
total magnetic moment: 0.0 μB/cell
space-group type: Cmcm

---

no.,VASP energy (eV/cell)
1,-27.24
2,-19.98
3,-191.17
4,-14.20
5,-38.50
6,-29.06
7,-31.46
8,-57.60